(1)
Below is a relaxed Rb3ReHg crystal, with properties calculated at the PBE-GGA level.

Computed properties:
**Space group**: Pm-3m, No. 221

Lattice parameters (Å, degrees): 6.6835 6.6835 6.6835 90.00 90.00 90.00
With the nearest neighbours (Å) after each atom.
Fractional coordinates of all 5 atoms:
Rb: 0.0000 0.0000 0.5000  2 Re 3.34
Rb: 0.0000 0.5000 0.0000  2 Re 3.34
Rb: 0.5000 0.0000 0.0000  2 Re 3.34
Re: 0.0000 0.0000 0.0000  6 Rb 3.34
Hg: 0.5000 0.5000 0.5000  12 Rb 4.73

***

(2)
Below is a relaxed SrCu2Au crystal, with properties calculated at the PBE-GGA level.

Computed properties:
**Space group**: Imm2, No. 44
**Energy above the lowest structure with this stoichiometry**: 69 kJ/mol of formula units

Lattice parameters (Å, degrees): 5.0508 5.0508 5.0508 128.65 113.50 88.67
With the nearest neighbours (Å) after each atom.
Fractional coordinates of all 4 atoms:
Sr: 0.0000 0.0000 0.0000  5 Cu 3.07-3.43, 4 Au 3.08-3.14
Cu: 0.3164 0.8164 0.5000  2 Cu 2.47, 1 Au 2.68
Cu: 0.4754 0.4754 0.0000  2 Cu 2.47, 2 Au 2.67
Au: 0.6877 0.1877 0.5000  3 Cu 2.67-2.68

***

(3)
Below is a relaxed CsLiRe2Pt crystal, with properties calculated at the PBE-GGA level.

Computed properties:
**Space group**: P4/mmm, No. 123

Lattice parameters (Å, degrees): 4.4839 4.4839 4.8704 90.00 90.00 90.00
With the nearest neighbours (Å) after each atom.
Fractional coordinates of all 5 atoms:
Cs: 0.0000 0.0000 0.0000  2 Li 2.44
Li: 0.0000 0.0000 0.5000  4 Re 2.24, 2 Cs 2.44
Re: 0.0000 0.5000 0.5000  2 Li 2.24
Re: 0.5000 0.0000 0.5000  2 Li 2.24
Pt: 0.5000 0.5000 0.0000  4 Cs 3.17, 8 Re 3.31

***

Calculated formation energy / meV/atom: 1291; -80; 2280
Energy / eV/atom: -1.839; -3.368; -4.461